No. 1
Compound: GaSi2Mo
Source: Alexandria
Functional: PBE-GGA
Structure: optimized geometry

a b c (Å): 6.659 6.659 6.659
angles (deg): 127.75 127.75 77.04
Positions (direct):
Ga1 0.000 0.000 0.000
Ga2 0.750 0.250 0.500
Si1 0.135 0.625 0.010
Si2 0.375 0.385 0.510
Si3 0.615 0.125 0.990
Si4 0.875 0.865 0.490
Mo1 0.250 0.750 0.500
Mo2 0.500 0.500 0.000

Summary:
mass density	4112	kg/m³
E	-5.46	eV/atom
formation energy (no corrections)	0.719	eV/atom

No. 2
Compound: Gd2BiC
Source: Alexandria
Functional: PBE-GGA
Structure: optimized geometry

a b c (Å): 8.243 8.243 8.243
angles (deg): 26.00 26.00 26.00
Positions (direct):
Gd1 0.223 0.223 0.223
Gd2 0.777 0.777 0.777
Bi1 0.000 0.000 0.000
C1 0.500 0.500 0.500

Summary:
mass density	9379	kg/m³
E	-10.85	eV/atom

No. 3
Compound: Tm2In8Au
Source: Alexandria
Functional: PBE-GGA
Structure: optimized geometry

a b c (Å): 4.726 4.726 12.185
angles (deg): 90.00 90.00 90.00
Positions (direct):
Tm1 0.000 0.000 0.187
Tm2 0.000 0.000 0.813
In1 0.000 0.500 0.000
In2 0.000 0.500 0.366
In3 0.000 0.500 0.634
In4 0.500 0.000 0.000
In5 0.500 0.000 0.366
In6 0.500 0.000 0.634
In7 0.500 0.500 0.187
In8 0.500 0.500 0.813
Au1 0.000 0.000 0.500

Summary:
mass density	8868	kg/m³
E	-3.39	eV/atom

| no. | DOS at the Fermi energy (states/eV/cell) |
| --- | --- |
| 1 | 6.44 |
| 2 | 0.98 |
| 3 | 4.59 |